! OsPdSN PBE optimized geometry; values from VASP
! - SG = Cm (8)
! - formation energy from raw total energies (eV per formula unit) = 0.86
! - final energy (eV per cell) = -28.01
! - distance to the lowest polymorph of the same formula (eV per atom) = 0.0378
&SYSTEM
  ibrav = 0, nat = 4, ntyp = 4
/
ATOMIC_SPECIES
Os 190.23 Os.upf
Pd 106.42 Pd.upf
S 32.06 S.upf
N 14.01 N.upf
ATOMIC_POSITIONS crystal
Os 0.000 0.000 0.000
Pd 0.786 0.786 0.655
S 0.648 0.648 0.084
N 0.944 0.944 0.486
CELL_PARAMETERS angstrom
5.921 -1.508 0.000
5.921 1.508 0.000
-0.340 0.000 3.531

***

! ScCuPb2Se PBE optimized geometry; values from VASP
! - SG = P4/mmm (123)
! - formation energy from raw total energies (eV per formula unit) = 1.64
! - final energy (eV per cell) = -19.69
&SYSTEM
  ibrav = 0, nat = 5, ntyp = 4
/
ATOMIC_SPECIES
Sc 44.96 Sc.upf
Cu 63.55 Cu.upf
Pb 207.20 Pb.upf
Se 78.96 Se.upf
ATOMIC_POSITIONS crystal
Sc 0.000 0.000 0.000
Cu 0.500 0.500 0.500
Pb 0.000 0.500 0.000
Pb 0.500 0.000 0.000
Se 0.000 0.000 0.500
CELL_PARAMETERS angstrom
5.768 0.000 0.000
0.000 5.768 0.000
0.000 0.000 4.951

***

! TaFe3 PBE optimized geometry; values from VASP
! - SG = Cmcm (63)
! - final energy (eV per cell) = -75.24
! - energy of formation from the pure elements (eV per atom) = -0.10
&SYSTEM
  ibrav = 0, nat = 8, ntyp = 2
/
ATOMIC_SPECIES
Ta 180.95 Ta.upf
Fe 55.84 Fe.upf
ATOMIC_POSITIONS crystal
Ta 0.134 0.866 0.750
Ta 0.866 0.134 0.250
Fe 0.138 0.373 0.750
Fe 0.373 0.138 0.250
Fe 0.374 0.626 0.250
Fe 0.626 0.374 0.750
Fe 0.627 0.862 0.750
Fe 0.862 0.627 0.250
CELL_PARAMETERS angstrom
2.894 -4.216 0.000
2.894 4.216 0.000
0.000 0.000 4.222

***

! Si2HgAsS PBE optimized geometry; values from VASP
! - SG = P4/mmm (123)
! - formation energy from raw total energies (eV per formula unit) = 6.46
! - final energy (eV per cell) = -13.47
&SYSTEM
  ibrav = 0, nat = 5, ntyp = 4
/
ATOMIC_SPECIES
Si 28.09 Si.upf
Hg 200.59 Hg.upf
As 74.92 As.upf
S 32.06 S.upf
ATOMIC_POSITIONS crystal
Si 0.000 0.500 0.000
Si 0.500 0.000 0.000
Hg 0.000 0.000 0.000
As 0.500 0.500 0.500
S 0.000 0.000 0.500
CELL_PARAMETERS angstrom
5.043 0.000 0.000
0.000 5.043 0.000
0.000 0.000 4.929

***

! LuPu2Al PBE optimized geometry; values from VASP
! - SG = R-3m (166)
! - final energy (eV per cell) = -36.38
! - energy of formation from the pure elements (eV per atom) = 0.14
! - distance to the lowest polymorph of the same formula (eV per atom) = 0.2268
&SYSTEM
  ibrav = 0, nat = 4, ntyp = 3
/
ATOMIC_SPECIES
Lu 174.97 Lu.upf
Pu 244.00 Pu.upf
Al 26.98 Al.upf
ATOMIC_POSITIONS crystal
Lu 0.000 0.000 0.000
Pu 0.243 0.243 0.243
Pu 0.757 0.757 0.757
Al 0.500 0.500 0.500
CELL_PARAMETERS angstrom
1.648 0.951 10.791
-1.648 0.951 10.791
0.000 -1.903 10.791

***

! RbNaCd2 PBE optimized geometry; values from VASP
! - SG = I-42d (122)
! - final energy (eV per cell) = -7.69
! - energy of formation from the pure elements (eV per atom) = 0.07
! - distance to the lowest polymorph of the same formula (eV per atom) = 0.1311
&SYSTEM
  ibrav = 0, nat = 8, ntyp = 3
/
ATOMIC_SPECIES
Rb 85.47 Rb.upf
Na 22.99 Na.upf
Cd 112.41 Cd.upf
ATOMIC_POSITIONS crystal
Rb 0.000 0.000 0.000
Rb 0.750 0.250 0.500
Na 0.250 0.750 0.500
Na 0.500 0.500 0.000
Cd 0.307 0.625 0.182
Cd 0.375 0.557 0.682
Cd 0.443 0.125 0.818
Cd 0.875 0.693 0.318
CELL_PARAMETERS angstrom
-2.806 2.806 11.178
2.806 -2.806 11.178
2.806 2.806 -11.178

***

! Sm5ScHg3 PBE optimized geometry; values from VASP
! - SG = P6_3/mcm (193)
! - final energy (eV per cell) = -66.70
! - energy of formation from the pure elements (eV per atom) = -0.28
&SYSTEM
  ibrav = 0, nat = 18, ntyp = 3
/
ATOMIC_SPECIES
Sm 150.36 Sm.upf
Sc 44.96 Sc.upf
Hg 200.59 Hg.upf
ATOMIC_POSITIONS crystal
Sm 0.000 0.324 0.250
Sm 0.000 0.676 0.750
Sm 0.324 0.000 0.250
Sm 0.324 0.324 0.750
Sm 0.333 0.667 0.000
Sm 0.333 0.667 0.500
Sm 0.667 0.333 0.000
Sm 0.667 0.333 0.500
Sm 0.676 0.000 0.750
Sm 0.676 0.676 0.250
Sc 0.000 0.000 0.000
Sc 0.000 0.000 0.500
Hg 0.000 0.337 0.750
Hg 0.000 0.663 0.250
Hg 0.337 0.000 0.750
Hg 0.337 0.337 0.250
Hg 0.663 0.000 0.250
Hg 0.663 0.663 0.750
CELL_PARAMETERS angstrom
9.227 0.000 0.000
-4.614 7.991 0.000
0.000 0.000 6.875

***

! PmZn3Ag3 PBE optimized geometry; values from VASP
! - SG = R-3 (148)
! - final energy (eV per cell) = -35.68
! - energy of formation from the pure elements (eV per atom) = -0.10
! - distance to the lowest polymorph of the same formula (eV per atom) = 0.0000
&SYSTEM
  ibrav = 0, nat = 14, ntyp = 3
/
ATOMIC_SPECIES
Pm 145.00 Pm.upf
Zn 65.41 Zn.upf
Ag 107.87 Ag.upf
ATOMIC_POSITIONS crystal
Pm 0.163 0.163 0.163
Pm 0.837 0.837 0.837
Zn 0.039 0.619 0.216
Zn 0.216 0.039 0.619
Zn 0.381 0.784 0.961
Zn 0.619 0.216 0.039
Zn 0.784 0.961 0.381
Zn 0.961 0.381 0.784
Ag 0.200 0.661 0.437
Ag 0.339 0.563 0.800
Ag 0.437 0.200 0.661
Ag 0.563 0.800 0.339
Ag 0.661 0.437 0.200
Ag 0.800 0.339 0.563
CELL_PARAMETERS angstrom
3.617 2.088 6.124
-3.617 2.088 6.124
0.000 -4.177 6.124

***

! Tb8Dy2Hg PBE optimized geometry; values from VASP
! - SG = C2/m (12)
! - final energy (eV per cell) = -46.45
! - energy of formation from the pure elements (eV per atom) = 0.01
! - distance to the lowest polymorph of the same formula (eV per atom) = 0.0408
&SYSTEM
  ibrav = 0, nat = 11, ntyp = 3
/
ATOMIC_SPECIES
Tb 158.93 Tb.upf
Dy 162.50 Dy.upf
Hg 200.59 Hg.upf
ATOMIC_POSITIONS crystal
Tb 0.000 0.000 0.246
Tb 0.000 0.000 0.754
Tb 0.185 0.185 0.685
Tb 0.364 0.364 0.628
Tb 0.365 0.365 0.100
Tb 0.635 0.635 0.900
Tb 0.636 0.636 0.372
Tb 0.815 0.815 0.315
Dy 0.192 0.192 0.192
Dy 0.808 0.808 0.808
Hg 0.500 0.500 0.500
CELL_PARAMETERS angstrom
9.394 -2.735 0.000
9.394 2.735 0.000
-2.941 0.000 6.836

***

! Nb2Ni3Rh4 PBE optimized geometry; values from VASP
! - SG = C2/m (12)
! - final energy (eV per cell) = -69.73
! - energy of formation from the pure elements (eV per atom) = -0.32
&SYSTEM
  ibrav = 0, nat = 9, ntyp = 3
/
ATOMIC_SPECIES
Nb 92.91 Nb.upf
Ni 58.69 Ni.upf
Rh 102.91 Rh.upf
ATOMIC_POSITIONS crystal
Nb 0.171 0.171 0.223
Nb 0.829 0.829 0.777
Ni 0.162 0.162 0.549
Ni 0.500 0.500 0.000
Ni 0.838 0.838 0.451
Rh 0.162 0.162 0.888
Rh 0.493 0.493 0.659
Rh 0.507 0.507 0.341
Rh 0.838 0.838 0.112
CELL_PARAMETERS angstrom
4.226 -1.930 0.000
4.226 1.930 0.000
-2.374 0.000 7.705

***

! Ti2Te2Ir PBE optimized geometry; values from VASP
! - SG = P4/mbm (127)
! - formation energy from raw total energies (eV per formula unit) = -0.43
! - final energy (eV per cell) = -62.72
! - distance to the lowest polymorph of the same formula (eV per atom) = 0.0000
&SYSTEM
  ibrav = 0, nat = 10, ntyp = 3
/
ATOMIC_SPECIES
Ti 47.87 Ti.upf
Te 127.60 Te.upf
Ir 192.22 Ir.upf
ATOMIC_POSITIONS crystal
Ti 0.138 0.362 0.000
Ti 0.362 0.862 0.000
Ti 0.638 0.138 0.000
Ti 0.862 0.638 0.000
Te 0.161 0.661 0.500
Te 0.339 0.161 0.500
Te 0.661 0.839 0.500
Te 0.839 0.339 0.500
Ir 0.000 0.000 0.500
Ir 0.500 0.500 0.500
CELL_PARAMETERS angstrom
7.398 0.000 0.000
0.000 7.398 0.000
0.000 0.000 3.529

***

! Re3IO PBE optimized geometry; values from VASP
! - SG = Pm-3m (221)
! - formation energy from raw total energies (eV per formula unit) = 18.02
! - final energy (eV per cell) = -25.83
! - distance to the lowest polymorph of the same formula (eV per atom) = 2.2545
&SYSTEM
  ibrav = 0, nat = 5, ntyp = 3
/
ATOMIC_SPECIES
Re 186.21 Re.upf
I 126.90 I.upf
O 16.00 O.upf
ATOMIC_POSITIONS crystal
Re 0.000 0.000 0.500
Re 0.000 0.500 0.000
Re 0.500 0.000 0.000
I 0.000 0.000 0.000
O 0.500 0.500 0.500
CELL_PARAMETERS angstrom
4.840 0.000 0.000
0.000 4.840 0.000
0.000 0.000 4.840

***

! Mn2CoIr PBE optimized geometry; values from VASP
! - SG = C2/m (12)
! - final energy (eV per cell) = -34.22
! - energy of formation from the pure elements (eV per atom) = 0.02
&SYSTEM
  ibrav = 0, nat = 4, ntyp = 3
/
ATOMIC_SPECIES
Mn 54.94 Mn.upf
Co 58.93 Co.upf
Ir 192.22 Ir.upf
ATOMIC_POSITIONS crystal
Mn 0.248 0.248 0.236
Mn 0.752 0.752 0.764
Co 0.500 0.500 0.000
Ir 0.000 0.000 0.500
CELL_PARAMETERS angstrom
4.236 -1.298 0.000
4.236 1.298 0.000
-0.772 0.000 4.316

***

! VTcTe3 PBE optimized geometry; values from VASP
! - SG = Pm-3m (221)
! - formation energy from raw total energies (eV per formula unit) = 4.29
! - final energy (eV per cell) = -24.62
! - distance to the lowest polymorph of the same formula (eV per atom) = 0.0000
&SYSTEM
  ibrav = 0, nat = 5, ntyp = 3
/
ATOMIC_SPECIES
V 50.94 V.upf
Tc 98.00 Tc.upf
Te 127.60 Te.upf
ATOMIC_POSITIONS crystal
V 0.000 0.000 0.000
Tc 0.500 0.500 0.500
Te 0.000 0.500 0.500
Te 0.500 0.000 0.500
Te 0.500 0.500 0.000
CELL_PARAMETERS angstrom
5.223 0.000 0.000
0.000 5.223 0.000
0.000 0.000 5.223

***

! HfReTc2F PBE optimized geometry; values from VASP
! - SG = P4/mmm (123)
! - formation energy from raw total energies (eV per formula unit) = 11.24
! - final energy (eV per cell) = -33.77
&SYSTEM
  ibrav = 0, nat = 5, ntyp = 4
/
ATOMIC_SPECIES
Hf 178.49 Hf.upf
Re 186.21 Re.upf
Tc 98.00 Tc.upf
F 19.00 F.upf
ATOMIC_POSITIONS crystal
Hf 0.000 0.000 0.000
Re 0.000 0.000 0.500
Tc 0.000 0.500 0.000
Tc 0.500 0.000 0.000
F 0.500 0.500 0.500
CELL_PARAMETERS angstrom
4.908 0.000 0.000
0.000 4.908 0.000
0.000 0.000 4.814

***

! PrDy3Fe PBE optimized geometry; values from VASP
! - SG = Pm-3m (221)
! - final energy (eV per cell) = -26.53
! - energy of formation from the pure elements (eV per atom) = 0.10
&SYSTEM
  ibrav = 0, nat = 5, ntyp = 3
/
ATOMIC_SPECIES
Pr 140.91 Pr.upf
Dy 162.50 Dy.upf
Fe 55.84 Fe.upf
ATOMIC_POSITIONS crystal
Pr 0.000 0.000 0.000
Dy 0.000 0.500 0.500
Dy 0.500 0.000 0.500
Dy 0.500 0.500 0.000
Fe 0.500 0.500 0.500
CELL_PARAMETERS angstrom
5.302 0.000 0.000
0.000 5.302 0.000
0.000 0.000 5.302

***

! KGaCu3 PBE optimized geometry; values from VASP
! - SG = Pm-3m (221)
! - final energy (eV per cell) = -14.79
! - energy of formation from the pure elements (eV per atom) = 0.33
&SYSTEM
  ibrav = 0, nat = 5, ntyp = 3
/
ATOMIC_SPECIES
K 39.10 K.upf
Ga 69.72 Ga.upf
Cu 63.55 Cu.upf
ATOMIC_POSITIONS crystal
K 0.000 0.000 0.000
Ga 0.500 0.500 0.500
Cu 0.000 0.500 0.500
Cu 0.500 0.000 0.500
Cu 0.500 0.500 0.000
CELL_PARAMETERS angstrom
4.752 0.000 0.000
0.000 4.752 0.000
0.000 0.000 4.752

***

! Nd4Tm2Tl3H2 PBE optimized geometry; values from VASP
! - SG = I4/mmm (139)
! - final energy (eV per cell) = -44.46
&SYSTEM
  ibrav = 0, nat = 11, ntyp = 4
/
ATOMIC_SPECIES
Nd 144.24 Nd.upf
Tm 168.93 Tm.upf
Tl 204.38 Tl.upf
H 1.01 H.upf
ATOMIC_POSITIONS crystal
Nd 0.088 0.588 0.500
Nd 0.412 0.912 0.500
Nd 0.588 0.088 0.500
Nd 0.912 0.412 0.500
Tm 0.201 0.201 0.000
Tm 0.799 0.799 0.000
Tl 0.322 0.322 0.000
Tl 0.500 0.500 0.000
Tl 0.678 0.678 0.000
H 0.110 0.110 0.000
H 0.890 0.890 0.000
CELL_PARAMETERS angstrom
-2.406 2.406 12.607
2.406 -2.406 12.607
2.406 2.406 -12.607

***

! RhSe3F PBE optimized geometry; values from VASP
! - SG = Pm-3m (221)
! - formation energy from raw total energies (eV per formula unit) = 3.79
! - final energy (eV per cell) = -15.88
! - distance to the lowest polymorph of the same formula (eV per atom) = 0.4417
&SYSTEM
  ibrav = 0, nat = 5, ntyp = 3
/
ATOMIC_SPECIES
Rh 102.91 Rh.upf
Se 78.96 Se.upf
F 19.00 F.upf
ATOMIC_POSITIONS crystal
Rh 0.000 0.000 0.000
Se 0.000 0.500 0.500
Se 0.500 0.000 0.500
Se 0.500 0.500 0.000
F 0.500 0.500 0.500
CELL_PARAMETERS angstrom
4.576 0.000 0.000
0.000 4.576 0.000
0.000 0.000 4.576

***

! TbScI2 PBE optimized geometry; values from VASP
! - SG = R-3m (166)
! - formation energy from raw total energies (eV per formula unit) = -2.15
! - final energy (eV per cell) = -16.21
&SYSTEM
  ibrav = 0, nat = 4, ntyp = 3
/
ATOMIC_SPECIES
Tb 158.93 Tb.upf
Sc 44.96 Sc.upf
I 126.90 I.upf
ATOMIC_POSITIONS crystal
Tb 0.000 0.000 0.000
Sc 0.500 0.500 0.500
I 0.405 0.405 0.405
I 0.595 0.595 0.595
CELL_PARAMETERS angstrom
1.902 1.098 10.332
-1.902 1.098 10.332
0.000 -2.197 10.332

***

! Cs2AgSn3Pb4 PBE optimized geometry; values from VASP
! - SG = P-4m2 (115)
! - final energy (eV per cell) = -32.19
! - energy of formation from the pure elements (eV per atom) = -0.08
&SYSTEM
  ibrav = 0, nat = 10, ntyp = 4
/
ATOMIC_SPECIES
Cs 132.91 Cs.upf
Ag 107.87 Ag.upf
Sn 118.71 Sn.upf
Pb 207.20 Pb.upf
ATOMIC_POSITIONS crystal
Cs 0.000 0.500 0.246
Cs 0.500 0.000 0.754
Ag 0.500 0.500 0.000
Sn 0.000 0.000 0.000
Sn 0.000 0.500 0.633
Sn 0.500 0.000 0.367
Pb 0.000 0.000 0.500
Pb 0.000 0.500 0.880
Pb 0.500 0.000 0.120
Pb 0.500 0.500 0.500
CELL_PARAMETERS angstrom
5.227 0.000 0.000
0.000 5.227 0.000
0.000 0.000 13.390

***

! La8TlSi3I4 PBE optimized geometry; values from VASP
! - SG = R-3m (166)
! - formation energy from raw total energies (eV per formula unit) = -14.79
! - final energy (eV per cell) = -79.05
&SYSTEM
  ibrav = 0, nat = 16, ntyp = 4
/
ATOMIC_SPECIES
La 138.91 La.upf
Tl 204.38 Tl.upf
Si 28.09 Si.upf
I 126.90 I.upf
ATOMIC_POSITIONS crystal
La 0.223 0.743 0.743
La 0.234 0.234 0.234
La 0.257 0.257 0.777
La 0.257 0.777 0.257
La 0.743 0.223 0.743
La 0.743 0.743 0.223
La 0.766 0.766 0.766
La 0.777 0.257 0.257
Tl 0.500 0.500 0.500
Si 0.000 0.000 0.500
Si 0.000 0.500 0.000
Si 0.500 0.000 0.000
I 0.000 0.000 0.000
I 0.000 0.500 0.500
I 0.500 0.000 0.500
I 0.500 0.500 0.000
CELL_PARAMETERS angstrom
4.505 2.601 7.715
-4.505 2.601 7.715
0.000 -5.201 7.715

***

! Li2MnTc PBE optimized geometry; values from VASP
! - SG = Pmmm (47)
! - final energy (eV per cell) = -22.18
! - energy of formation from the pure elements (eV per atom) = 0.30
! - distance to the lowest polymorph of the same formula (eV per atom) = 0.0937
&SYSTEM
  ibrav = 0, nat = 4, ntyp = 3
/
ATOMIC_SPECIES
Li 6.94 Li.upf
Mn 54.94 Mn.upf
Tc 98.00 Tc.upf
ATOMIC_POSITIONS crystal
Li 0.000 0.000 0.000
Li 0.500 0.500 0.000
Mn 0.000 0.500 0.500
Tc 0.500 0.000 0.500
CELL_PARAMETERS angstrom
2.971 0.000 0.000
0.000 3.869 0.000
0.000 0.000 4.617

***

! PrDy2Ho5Er PBE optimized geometry; values from VASP
! - SG = I4/mcm (140)
! - final energy (eV per cell) = -77.62
! - energy of formation from the pure elements (eV per atom) = 0.29
&SYSTEM
  ibrav = 0, nat = 18, ntyp = 4
/
ATOMIC_SPECIES
Pr 140.91 Pr.upf
Dy 162.50 Dy.upf
Ho 164.93 Ho.upf
Er 167.26 Er.upf
ATOMIC_POSITIONS crystal
Pr 0.250 0.250 0.000
Pr 0.750 0.750 0.000
Dy 0.112 0.612 0.724
Dy 0.388 0.112 0.500
Dy 0.612 0.888 0.500
Dy 0.888 0.388 0.276
Ho 0.000 0.000 0.000
Ho 0.074 0.164 0.500
Ho 0.164 0.664 0.090
Ho 0.336 0.426 0.500
Ho 0.426 0.926 0.090
Ho 0.500 0.500 0.000
Ho 0.574 0.074 0.910
Ho 0.664 0.574 0.500
Ho 0.836 0.336 0.910
Ho 0.926 0.836 0.500
Er 0.250 0.750 0.500
Er 0.750 0.250 0.500
CELL_PARAMETERS angstrom
-4.487 4.487 7.254
4.487 -4.487 7.254
4.487 4.487 -7.254